1.
PBE ZnP2Os, optimized geometry; symmetry = Amm2; formation enthalpy at 0 K = 98 meV/atom
1.0
4.661 0.000 0.000
0.000 3.201 0.000
0.000 0.000 8.159
Zn P Os
2 4 2
direct
0.000 0.000 0.000
0.000 0.500 0.500
0.000 0.000 0.281
0.000 0.500 0.781
0.500 0.000 0.681
0.500 0.500 0.181
0.500 0.000 0.391
0.500 0.500 0.891

***

2.
PBE LiSmErMg, optimized geometry; symmetry = F-43m; formation enthalpy at 0 K = 38 meV/atom
1.0
7.552 0.000 0.000
0.000 7.552 0.000
0.000 0.000 7.552
Li Sm Er Mg
4 4 4 4
direct
0.000 0.000 0.000
0.000 0.500 0.500
0.500 0.000 0.500
0.500 0.500 0.000
0.250 0.250 0.250
0.250 0.750 0.750
0.750 0.250 0.750
0.750 0.750 0.250
0.250 0.250 0.750
0.250 0.750 0.250
0.750 0.250 0.250
0.750 0.750 0.750
0.000 0.000 0.500
0.000 0.500 0.000
0.500 0.000 0.000
0.500 0.500 0.500

***

3.
PBE Tb5Sm4Y3, optimized geometry; E above lowest polymorph = 0 meV per atom; symmetry = P-1; formation enthalpy at 0 K = 15 meV/atom
1.0
6.209 0.000 0.000
-0.018 7.171 0.000
-0.005 -0.014 8.776
Tb Sm Y
5 4 3
direct
0.000 0.000 0.000
0.334 0.500 0.332
0.500 0.251 0.000
0.500 0.749 0.000
0.666 0.500 0.668
0.167 0.749 0.667
0.333 0.000 0.331
0.667 0.000 0.669
0.833 0.251 0.333
0.000 0.500 0.000
0.167 0.251 0.667
0.833 0.749 0.333